A relaxed AcPmPr4Sm2 crystal, computed with PBE.

Summary:
The density of states at the Fermi level comes out at 2.177 states/eV per atom. The formation energy is 0.366 eV/atom. For the calculated total energy, the calculation gives -4.3111 eV per atom. The space group is No. 15.

a b c (Å): 9.8041 9.8041 12.1745
angles (deg): 128.41 128.41 87.95
With the nearest neighbours (Å) after each atom.
Element x y z (fractional)
Ac  0.0000  0.5000  0.0000  6 Pr 3.54-3.58, 2 Sm 3.56
Ac  0.0000  0.5000  0.5000  6 Pr 3.54-3.58, 2 Sm 3.56
Pm  0.5000  0.5000  0.5000  4 Pr 3.34-3.41, 2 Pm 3.56
Pm  0.0000  0.0000  0.0000  4 Pr 3.34-3.41, 2 Pm 3.56
Pr  0.2658  0.7645  0.0151  1 Pr 3.34, 3 Sm 3.40-3.47, 1 Pm 3.41, 2 Ac 3.58
Pr  0.7355  0.2342  0.4849  1 Pr 3.34, 3 Sm 3.40-3.47, 1 Pm 3.41, 2 Ac 3.58
Pr  0.2645  0.7658  0.5151  1 Pr 3.34, 3 Sm 3.40-3.47, 1 Pm 3.41, 2 Ac 3.58
Pr  0.7342  0.2355  0.9849  1 Pr 3.34, 3 Sm 3.40-3.47, 1 Pm 3.41, 2 Ac 3.58
Pr  0.6815  0.6980  0.9402  2 Sm 3.32-3.33, 1 Pm 3.34, 1 Ac 3.54, 2 Pr 3.57
Pr  0.8020  0.8185  0.5598  2 Sm 3.32-3.33, 1 Pm 3.34, 1 Ac 3.54, 2 Pr 3.57
Pr  0.1980  0.1816  0.4402  2 Sm 3.32-3.33, 1 Pm 3.34, 1 Ac 3.54, 2 Pr 3.57
Pr  0.3184  0.3020  0.0598  2 Sm 3.32-3.33, 1 Pm 3.34, 1 Ac 3.54, 2 Pr 3.57
Sm  0.5000  0.0000  0.0000  6 Pr 3.32-3.47, 2 Ac 3.56
Sm  0.5000  0.0000  0.5000  6 Pr 3.32-3.47, 2 Ac 3.56
Sm  0.0000  0.0000  0.5000  4 Pr 3.33-3.40, 2 Sm 3.56
Sm  0.5000  0.5000  0.0000  4 Pr 3.33-3.40, 2 Sm 3.56

A relaxed TbZn2AgAu5 crystal, computed with PBE.

Summary:
The density of states at the Fermi level comes out at 0.489 states/eV per atom. The formation energy is -0.233 eV/atom. For the calculated total energy, the calculation gives -3.1686 eV per atom. The space group is No. 123.

a b c (Å): 4.7384 4.7384 8.0016
angles (deg): 90.00 90.00 90.00
With the nearest neighbours (Å) after each atom.
Element x y z (fractional)
Tb  0.0000  0.0000  0.5000  12 Au 3.03-3.35
Zn  0.5000  0.5000  0.1482  1 Zn 2.37, 4 Au 2.54
Zn  0.5000  0.5000  0.8518  1 Zn 2.37, 4 Au 2.54
Ag  0.0000  0.0000  0.0000  8 Au 3.17
Au  0.0000  0.5000  0.2636  2 Zn 2.54
Au  0.5000  0.0000  0.2636  2 Zn 2.54
Au  0.0000  0.5000  0.7364  2 Zn 2.54
Au  0.5000  0.0000  0.7364  2 Zn 2.54
Au  0.5000  0.5000  0.5000  2 Zn 2.81, 8 Au 3.03

A relaxed LuSc2Pa crystal, computed with PBE.

Summary:
The density of states at the Fermi level comes out at 1.890 states/eV per atom. The formation energy is 0.099 eV/atom. For the excess energy over the best structure of this formula in the dataset, the calculation gives 25 meV per atom. For the calculated total energy, the calculation gives -6.5714 eV per atom. The space group is No. 123.

a b c (Å): 3.2823 3.2823 9.5801
angles (deg): 90.00 90.00 90.00
With the nearest neighbours (Å) after each atom.
Element x y z (fractional)
Sc  0.0000  0.0000  0.7621  4 Pa 3.25, 4 Sc 3.28, 4 Lu 3.42
Sc  0.0000  0.0000  0.2379  4 Pa 3.25, 4 Sc 3.28, 4 Lu 3.42
Pa  0.5000  0.5000  0.0000  8 Sc 3.25, 4 Pa 3.28
Lu  0.5000  0.5000  0.5000  4 Lu 3.28, 8 Sc 3.42

A relaxed Sm2LuIr crystal, computed with PBE.

Summary:
The density of states at the Fermi level comes out at 1.315 states/eV per atom. The formation energy is -0.035 eV/atom. For the calculated total energy, the calculation gives -5.7405 eV per atom. The space group is No. 166.

a b c (Å): 3.7535 3.7535 10.7582
angles (deg): 79.95 79.95 60.00
With the nearest neighbours (Å) after each atom.
Element x y z (fractional)
Ir  0.5000  0.5000  0.5000  6 Sm 2.79
Lu  0.0000  0.0000  0.0000  2 Sm 3.51, 6 Lu 3.75
Sm  0.1110  0.1110  0.6671  3 Ir 2.79
Sm  0.8890  0.8890  0.3329  3 Ir 2.79

A relaxed Ca2Zn12Pd5 crystal, computed with PBE.

Summary:
The density of states at the Fermi level comes out at 0.319 states/eV per atom. The formation energy is -0.391 eV/atom. For the calculated total energy, the calculation gives -2.7732 eV per atom. The space group is No. 166.

a b c (Å): 6.8855 6.8855 6.8855
angles (deg): 83.58 83.58 83.58
With the nearest neighbours (Å) after each atom.
Element x y z (fractional)
Ca  0.6694  0.6694  0.6694  1 Pd 3.00, 12 Zn 3.28-3.36
Ca  0.3306  0.3306  0.3306  1 Pd 3.00, 12 Zn 3.28-3.36
Zn  0.2881  0.7119  0.0000  2 Pd 2.59, 6 Zn 2.64-2.79
Zn  0.7119  0.0000  0.2881  2 Pd 2.59, 6 Zn 2.64-2.79
Zn  0.0000  0.2881  0.7119  2 Pd 2.59, 6 Zn 2.64-2.79
Zn  0.7119  0.2881  0.0000  2 Pd 2.59, 6 Zn 2.64-2.79
Zn  0.2881  0.0000  0.7119  2 Pd 2.59, 6 Zn 2.64-2.79
Zn  0.0000  0.7119  0.2881  2 Pd 2.59, 6 Zn 2.64-2.79
Zn  0.3468  0.3468  0.8510  3 Pd 2.65-2.82, 6 Zn 2.70-2.79
Zn  0.3468  0.8510  0.3468  3 Pd 2.65-2.82, 6 Zn 2.70-2.79
Zn  0.8510  0.3468  0.3468  3 Pd 2.65-2.82, 6 Zn 2.70-2.79
Zn  0.6532  0.1490  0.6532  3 Pd 2.65-2.82, 6 Zn 2.70-2.79
Zn  0.6532  0.6532  0.1490  3 Pd 2.65-2.82, 6 Zn 2.70-2.79
Zn  0.1490  0.6532  0.6532  3 Pd 2.65-2.82, 6 Zn 2.70-2.79
Pd  0.0000  0.0000  0.5000  8 Zn 2.59-2.65, 2 Pd 2.78
Pd  0.0000  0.5000  0.0000  8 Zn 2.59-2.65, 2 Pd 2.78
Pd  0.5000  0.0000  0.0000  8 Zn 2.59-2.65, 2 Pd 2.78
Pd  0.8969  0.8969  0.8969  4 Pd 2.72-2.78, 9 Zn 2.82-2.97, 1 Ca 3.00
Pd  0.1031  0.1031  0.1031  4 Pd 2.72-2.78, 9 Zn 2.82-2.97, 1 Ca 3.00

A relaxed MgCd12Ag6 crystal, computed with PBE.

Summary:
The density of states at the Fermi level comes out at 0.149 states/eV per atom. The formation energy is -0.061 eV/atom. For the excess energy over the best structure of this formula in the dataset, the calculation gives 0 meV per atom. For the calculated total energy, the calculation gives -1.6236 eV per atom. The space group is No. 148.

a b c (Å): 7.3007 7.3007 7.3007
angles (deg): 88.85 91.15 91.15
With the nearest neighbours (Å) after each atom.
Element x y z (fractional)
Mg  0.0000  0.0000  0.0000  6 Ag 2.85, 6 Cd 3.01
Cd  0.4752  0.8025  0.4294  4 Ag 2.91-3.08, 5 Cd 2.97-3.20
Cd  0.1975  0.4294  0.5248  4 Ag 2.91-3.08, 5 Cd 2.97-3.20
Cd  0.5706  0.5248  0.8025  4 Ag 2.91-3.08, 5 Cd 2.97-3.20
Cd  0.5248  0.1975  0.5706  4 Ag 2.91-3.08, 5 Cd 2.97-3.20
Cd  0.8025  0.5706  0.4752  4 Ag 2.91-3.08, 5 Cd 2.97-3.20
Cd  0.4294  0.4752  0.1975  4 Ag 2.91-3.08, 5 Cd 2.97-3.20
Cd  0.8450  0.0394  0.3760  5 Cd 2.93-3.20, 5 Ag 2.95-3.25, 1 Mg 3.01
Cd  0.3760  0.8450  0.9606  5 Cd 2.93-3.20, 5 Ag 2.95-3.25, 1 Mg 3.01
Cd  0.0394  0.6240  0.8450  5 Cd 2.93-3.20, 5 Ag 2.95-3.25, 1 Mg 3.01
Cd  0.1550  0.9606  0.6240  5 Cd 2.93-3.20, 5 Ag 2.95-3.25, 1 Mg 3.01
Cd  0.6240  0.1550  0.0394  5 Cd 2.93-3.20, 5 Ag 2.95-3.25, 1 Mg 3.01
Cd  0.9606  0.3760  0.1550  5 Cd 2.93-3.20, 5 Ag 2.95-3.25, 1 Mg 3.01
Ag  0.1121  0.7351  0.2696  1 Mg 2.85, 8 Cd 2.91-3.11, 2 Ag 2.96
Ag  0.7351  0.7304  0.1121  1 Mg 2.85, 8 Cd 2.91-3.11, 2 Ag 2.96
Ag  0.2696  0.1121  0.2649  1 Mg 2.85, 8 Cd 2.91-3.11, 2 Ag 2.96
Ag  0.8879  0.2649  0.7304  1 Mg 2.85, 8 Cd 2.91-3.11, 2 Ag 2.96
Ag  0.2649  0.2696  0.8879  1 Mg 2.85, 8 Cd 2.91-3.11, 2 Ag 2.96
Ag  0.7304  0.8879  0.7351  1 Mg 2.85, 8 Cd 2.91-3.11, 2 Ag 2.96

A relaxed LiMn3 crystal, computed with PBE.

Summary:
The density of states at the Fermi level comes out at 1.059 states/eV per atom. The formation energy is 0.308 eV/atom. For the calculated total energy, the calculation gives -7.0476 eV per atom. The space group is No. 223.

a b c (Å): 4.3783 4.3783 4.3783
angles (deg): 90.00 90.00 90.00
With the nearest neighbours (Å) after each atom.
Element x y z (fractional)
Li  0.0000  0.0000  0.0000  12 Mn 2.45
Li  0.5000  0.5000  0.5000  12 Mn 2.45
Mn  0.7500  0.5000  0.0000  2 Mn 2.19, 4 Li 2.45
Mn  0.2500  0.5000  0.0000  2 Mn 2.19, 4 Li 2.45
Mn  0.0000  0.7500  0.5000  2 Mn 2.19, 4 Li 2.45
Mn  0.0000  0.2500  0.5000  2 Mn 2.19, 4 Li 2.45
Mn  0.5000  0.0000  0.2500  2 Mn 2.19, 4 Li 2.45
Mn  0.5000  0.0000  0.7500  2 Mn 2.19, 4 Li 2.45

A relaxed Li7Se crystal, computed with PBE.

Summary:
The value obtained for the raw formation energy is -0.260 eV per atom. The density of states at the Fermi level comes out at 0.495 states/eV per atom. For the calculated total energy, the calculation gives -2.3705 eV per atom. The space group is No. 225.

a b c (Å): 5.8901 5.8901 5.8901
angles (deg): 60.00 60.00 60.00
With the nearest neighbours (Å) after each atom.
Element x y z (fractional)
Li  0.5000  0.5000  0.0000  2 Se 2.95, 10 Li 2.95
Li  0.5000  0.0000  0.5000  2 Se 2.95, 10 Li 2.95
Li  0.5000  0.0000  0.0000  2 Se 2.95, 10 Li 2.95
Li  0.0000  0.0000  0.5000  2 Se 2.95, 10 Li 2.95
Li  0.0000  0.5000  0.0000  2 Se 2.95, 10 Li 2.95
Li  0.0000  0.5000  0.5000  2 Se 2.95, 10 Li 2.95
Li  0.5000  0.5000  0.5000  12 Li 2.95
Se  0.0000  0.0000  0.0000  12 Li 2.95

A relaxed CeMoN3 crystal, computed with PBE.

Summary:
The value obtained for the raw formation energy is -0.716 eV per atom. The density of states at the Fermi level comes out at 0.951 states/eV per atom. For the calculated total energy, the calculation gives -9.0642 eV per atom. The space group is No. 2.

a b c (Å): 4.0740 6.1848 5.9975
angles (deg): 109.53 109.89 89.99
With the nearest neighbours (Å) after each atom.
Element x y z (fractional)
Mo  0.8337  0.1128  0.6684  1 N 1.86
Mo  0.1663  0.8872  0.3316  1 N 1.86
Ce  0.6056  0.3150  0.2115  7 N 2.36-2.64
Ce  0.3944  0.6850  0.7885  7 N 2.36-2.64
N  0.3613  0.0657  0.7232  3 Mo 2.09-2.10
N  0.1693  0.5884  0.3381  1 Mo 1.86
N  0.9648  0.8835  0.9295  1 N 1.38
N  0.0352  0.1165  0.0705  1 N 1.38
N  0.6387  0.9343  0.2768  3 Mo 2.09-2.10
N  0.8308  0.4116  0.6619  1 Mo 1.86

A relaxed PuCuPdO6 crystal, computed with PBE.

Summary:
The value obtained for the raw formation energy is -1.267 eV per atom. The density of states at the Fermi level comes out at 0.586 states/eV per atom. For the calculated total energy, the calculation gives -7.1967 eV per atom. The space group is No. 163.

a b c (Å): 5.2186 5.2186 9.1577
angles (deg): 90.00 90.00 120.00
With the nearest neighbours (Å) after each atom.
Element x y z (fractional)
Pu  0.6667  0.3333  0.2500  6 O 2.05
Pu  0.3333  0.6667  0.7500  6 O 2.05
Cu  0.0000  0.0000  0.0000  6 O 2.12
Cu  0.0000  0.0000  0.5000  6 O 2.12
Pd  0.3333  0.6667  0.2500  6 O 2.06
Pd  0.6667  0.3333  0.7500  6 O 2.06
O  0.6626  0.6620  0.1282  1 Pu 2.05, 1 Pd 2.06, 1 Cu 2.12
O  0.9994  0.3374  0.1282  1 Pu 2.05, 1 Pd 2.06, 1 Cu 2.12
O  0.3374  0.9994  0.6282  1 Pu 2.05, 1 Pd 2.06, 1 Cu 2.12
O  0.0006  0.6626  0.8718  1 Pu 2.05, 1 Pd 2.06, 1 Cu 2.12
O  0.3380  0.3374  0.3718  1 Pu 2.05, 1 Pd 2.06, 1 Cu 2.12
O  0.9994  0.6620  0.3718  1 Pu 2.05, 1 Pd 2.06, 1 Cu 2.12
O  0.6620  0.9994  0.8718  1 Pu 2.05, 1 Pd 2.06, 1 Cu 2.12
O  0.6626  0.0006  0.3718  1 Pu 2.05, 1 Pd 2.06, 1 Cu 2.12
O  0.0006  0.3380  0.6282  1 Pu 2.05, 1 Pd 2.06, 1 Cu 2.12
O  0.3380  0.0006  0.1282  1 Pu 2.05, 1 Pd 2.06, 1 Cu 2.12
O  0.6620  0.6626  0.6282  1 Pu 2.05, 1 Pd 2.06, 1 Cu 2.12
O  0.3374  0.3380  0.8718  1 Pu 2.05, 1 Pd 2.06, 1 Cu 2.12